PBE Nd8Te4P3S, optimized geometry; raw formation energy = -1.622 eV/atom; DFT total energy = -6.06 eV per atom
1.0
4.244 2.450 7.325
-4.244 2.450 7.325
0.000 -4.901 7.325
Nd Te P S
8 4 3 1
direct
0.234 0.739 0.739 Nd
0.238 0.238 0.238 Nd
0.261 0.261 0.766 Nd
0.261 0.766 0.261 Nd
0.739 0.234 0.739 Nd
0.739 0.739 0.234 Nd
0.762 0.762 0.762 Nd
0.766 0.261 0.261 Nd
0.000 0.000 0.000 Te
0.000 0.500 0.500 Te
0.500 0.000 0.500 Te
0.500 0.500 0.000 Te
0.000 0.000 0.500 P
0.000 0.500 0.000 P
0.500 0.000 0.000 P
0.500 0.500 0.500 S